This record from the Open Quantum Materials Database describes crystalline MgIr at its relaxed geometry. The functional is PBE.

Calculated values
Raw total energy: -5.33 eV/atom
SG: Pmmn, No. 59

Structure (extended XYZ):
```
8
Lattice="-10.006 3.051 -0.163 -0.243 -0.938 -2.651 -1.269 -4.077 1.559" Properties=species:S:1:pos:R:3 pbc="T T T"
Ir -4.835 1.475 -0.079
Ir -5.092 -1.185 -0.617
Ir -7.121 -0.060 0.674
Ir -2.807 0.350 -1.369
Mg -0.376 0.115 -0.006
Mg -2.687 -1.412 0.746
Mg -7.240 1.702 -1.441
Mg -9.552 0.175 -0.689
```